Record 1
This record from Alexandria describes a relaxed Pm6NdHg crystal. The functional is PBE.

Cell: 4.998 4.998 10.298 Å, 90.00 90.00 90.00°
Space group P4/mmm (No. 123)
Inequivalent atoms, fractional coordinates:
Pm (0.000, 0.000, 0.000) (multiplicity 1)
Pm (0.000, 0.000, 0.500) (multiplicity 1)
Pm (0.000, 0.500, 0.242) (multiplicity 4)
Nd (0.500, 0.500, 0.500) (multiplicity 1)
Hg (0.500, 0.500, 0.000) (multiplicity 1)

Results
Formation enthalpy at 0 K (meV/atom): -60.5
Raw total energy (eV per atom): -4.257
Theoretical density (Mg/m³): 7.84

***

Record 2
This record from Alexandria describes a relaxed K2Li2PuS4 crystal. The functional is PBE.

Cell: 14.724 4.092 7.467 Å, 90.00 110.10 90.00°
Space group C2/m (No. 12)
Inequivalent atoms, fractional coordinates:
K (0.139, 0.000, 0.062) (multiplicity 4)
Li (0.182, 0.500, 0.491) (multiplicity 4)
Pu (0.000, 0.000, 0.500) (multiplicity 2)
S (0.016, 0.500, 0.274) (multiplicity 4)
S (0.195, 0.000, 0.669) (multiplicity 4)

Results
Raw total energy (eV per atom): -5.476
Theoretical density (Mg/m³): 3.65

***

Record 3
This record from Alexandria describes a relaxed NaMg2OsO6 crystal. The functional is PBE.

Cell: 5.2925 5.2925 14.4357 Å, 90.00 90.00 120.00°
Space group R3 (No. 146, hexagonal axes)
Inequivalent atoms, fractional coordinates:
Na (0.0000, 0.0000, 0.0000) (multiplicity 3)
Mg (0.0000, 0.0000, 0.2807) (multiplicity 3)
Mg (0.0000, 0.0000, 0.7900) (multiplicity 3)
Os (0.0000, 0.0000, 0.4783) (multiplicity 3)
O (0.0074, 0.3122, 0.5457) (multiplicity 9)
O (0.0363, 0.6276, 0.0599) (multiplicity 9)

Results
Raw total energy (eV per atom): -6.286
Theoretical density (Mg/m³): 5.09

***

Record 4
This record from Alexandria describes a relaxed Co2BiCl8 crystal. The functional is PBE.

Cell: 18.398 8.608 12.342 Å, 90.00 130.29 90.00°
Space group C2/c (No. 15)
Inequivalent atoms, fractional coordinates:
Co (0.094, 0.243, 0.047) (multiplicity 8)
Bi (0.000, 0.496, 0.250) (multiplicity 4)
Cl (0.057, 0.283, 0.662) (multiplicity 8)
Cl (0.098, 0.264, 0.231) (multiplicity 8)
Cl (0.152, 0.029, 0.048) (multiplicity 8)
Cl (0.160, 0.453, 0.027) (multiplicity 8)

Results
Raw total energy (eV per atom): -3.664
Theoretical density (Mg/m³): 2.72